1.
! Pm2PrCo2 PBE optimized geometry; values from VASP
&SYSTEM
  ibrav = 0, nat = 5, ntyp = 3
/
ATOMIC_SPECIES
Pm 145.00 Pm.upf
Co 58.93 Co.upf
Pr 140.91 Pr.upf
ATOMIC_POSITIONS angstrom
Pm 2.055 1.445 5.084
Co 0.000 0.883 3.104
Co 0.000 3.103 3.603
Pr 0.000 0.000 0.000
Pm 2.055 2.541 1.623
CELL_PARAMETERS angstrom
4.111 0.000 0.000
0.000 3.847 -1.094
0.000 0.139 7.801
! Size of the total moment: 0.91 μB per formula unit
! Symmetry: Cmmm (65)



2.
! Pm2PrCo2 PBE optimized geometry; values from VASP
&SYSTEM
  ibrav = 0, nat = 5, ntyp = 3
/
ATOMIC_SPECIES
Pm 145.00 Pm.upf
Co 58.93 Co.upf
Pr 140.91 Pr.upf
ATOMIC_POSITIONS angstrom
Pm -2.231 -2.881 -1.227
Co -2.594 0.164 -1.830
Pm -4.116 -0.566 0.365
Co -3.753 -3.612 0.968
Pr 0.000 0.000 0.000
CELL_PARAMETERS angstrom
-0.226 -0.766 -3.735
-0.962 -5.506 1.187
-5.159 2.825 1.686
! Size of the total moment: 0.00 μB per formula unit
! Symmetry: C2/m (12)



Which of them is least stable? Easy: 2.



1.
! PmPr2Co2 PBE optimized geometry; values from VASP
&SYSTEM
  ibrav = 0, nat = 5, ntyp = 3
/
ATOMIC_SPECIES
Co 58.93 Co.upf
Pr 140.91 Pr.upf
Pm 145.00 Pm.upf
ATOMIC_POSITIONS angstrom
Co -1.039 -4.497 -0.567
Pr -0.139 -5.055 2.338
Co 0.530 -3.046 0.301
Pm 0.000 0.000 0.000
Pr -2.410 -2.480 1.072
CELL_PARAMETERS angstrom
-2.040 0.008 3.677
-3.505 -0.802 -1.943
2.996 -6.741 1.677
! Size of the total moment: 0.91 μB per formula unit
! Symmetry: Cmmm (65)



2.
! PmPr2Co2 PBE optimized geometry; values from VASP
&SYSTEM
  ibrav = 0, nat = 5, ntyp = 3
/
ATOMIC_SPECIES
Pm 145.00 Pm.upf
Co 58.93 Co.upf
Pr 140.91 Pr.upf
ATOMIC_POSITIONS angstrom
Pm 0.000 0.000 0.000
Co 1.873 -4.732 -1.783
Co 0.282 -2.189 2.242
Pr 2.580 -3.053 0.949
Pr -0.425 -3.868 -0.489
CELL_PARAMETERS angstrom
-2.815 -1.807 1.840
-0.226 -4.031 -4.305
5.196 -1.082 2.925
! Size of the total moment: 0.04 μB per formula unit
! Symmetry: C2/m (12)



Which of them is least stable? Easy: 2.



1.
! PmPuCo PBE optimized geometry; values from VASP
&SYSTEM
  ibrav = 0, nat = 12, ntyp = 3
/
ATOMIC_SPECIES
Pu 244.00 Pu.upf
Pm 145.00 Pm.upf
Co 58.93 Co.upf
ATOMIC_POSITIONS angstrom
Pu -4.778 -0.352 -0.676
Pu -1.138 -1.039 -0.145
Pm -3.787 -1.751 3.936
Co -2.447 -4.553 4.323
Co -3.268 -1.088 1.205
Pu -0.936 -5.289 6.204
Pu -4.577 -4.601 5.673
Co -6.087 -3.865 3.792
Pm -0.147 -2.438 4.466
Pm -5.568 -3.202 1.062
Pm -1.927 -3.890 1.592
Co 0.373 -1.775 1.736
CELL_PARAMETERS angstrom
-0.680 -4.557 -1.236
2.247 -2.459 7.825
-7.281 1.375 -1.061
! Size of the total moment: 5.01 μB per formula unit
! Symmetry: Pmmn (59)



2.
! PmPuCo PBE optimized geometry; values from VASP
&SYSTEM
  ibrav = 0, nat = 3, ntyp = 3
/
ATOMIC_SPECIES
Pm 145.00 Pm.upf
Pu 244.00 Pu.upf
Co 58.93 Co.upf
ATOMIC_POSITIONS angstrom
Pm -2.846 1.112 -2.469
Pu -0.381 -0.233 -0.628
Co -2.473 -0.162 0.615
CELL_PARAMETERS angstrom
-2.286 -1.398 -3.769
-2.863 -1.903 2.443
-0.551 4.018 -1.156
! Size of the total moment: 5.32 μB per formula unit
! Symmetry: P-6m2 (187)



3.
! PmPuCo PBE optimized geometry; values from VASP
&SYSTEM
  ibrav = 0, nat = 3, ntyp = 3
/
ATOMIC_SPECIES
Pu 244.00 Pu.upf
Co 58.93 Co.upf
Pm 145.00 Pm.upf
ATOMIC_POSITIONS angstrom
Pu 1.789 2.640 0.768
Co -0.554 2.495 2.081
Pm 0.069 0.102 0.030
CELL_PARAMETERS angstrom
-2.841 1.994 -0.239
-0.659 -0.535 3.374
4.804 3.777 -0.256
! Size of the total moment: 4.57 μB per formula unit
! Symmetry: I4mm (107)



4.
! PmPuCo PBE optimized geometry; values from VASP
&SYSTEM
  ibrav = 0, nat = 12, ntyp = 3
/
ATOMIC_SPECIES
Pu 244.00 Pu.upf
Co 58.93 Co.upf
Pm 145.00 Pm.upf
ATOMIC_POSITIONS angstrom
Pu 4.120 -3.581 3.408
Pu -0.157 -0.971 1.932
Pu 6.733 -5.132 2.073
Co 4.352 1.484 7.005
Co 1.618 -3.618 2.163
Co 4.806 -6.674 2.992
Pm 7.189 -3.447 4.956
Pm 3.146 -1.116 1.282
Pm 4.526 -0.176 4.439
Pm 1.962 -6.107 3.972
Co 6.047 -2.039 2.489
Pu 6.127 -1.162 7.236
CELL_PARAMETERS angstrom
-1.703 -0.841 3.448
3.181 -7.421 -0.240
6.933 2.839 4.116
! Size of the total moment: 5.41 μB per formula unit
! Symmetry: Pnma (62)



Which of them is least stable? Easy: 2.



1.
! Pm2PuCo PBE optimized geometry; values from VASP
&SYSTEM
  ibrav = 0, nat = 4, ntyp = 3
/
ATOMIC_SPECIES
Pm 145.00 Pm.upf
Co 58.93 Co.upf
Pu 244.00 Pu.upf
ATOMIC_POSITIONS angstrom
Pm 1.810 1.045 6.852
Co 3.620 2.090 5.147
Pm 5.430 3.135 3.441
Pu 0.000 0.000 0.000
CELL_PARAMETERS angstrom
3.620 0.000 0.000
1.810 3.135 0.000
1.810 1.045 10.293
! Size of the total moment: 6.48 μB per formula unit
! Symmetry: R-3m (166)



2.
! Pm2PuCo PBE optimized geometry; values from VASP
&SYSTEM
  ibrav = 0, nat = 4, ntyp = 3
/
ATOMIC_SPECIES
Pm 145.00 Pm.upf
Co 58.93 Co.upf
Pu 244.00 Pu.upf
ATOMIC_POSITIONS angstrom
Pm -4.598 -4.738 2.398
Co -1.818 1.203 -1.108
Pm -1.111 -1.145 0.580
Pu -4.672 -1.738 0.381
CELL_PARAMETERS angstrom
-2.154 2.549 0.906
-1.482 -0.142 -3.121
-5.709 -5.882 2.978
! Size of the total moment: 7.73 μB per formula unit
! Symmetry: P4/mmm (123)



Which of them is least stable? Easy: 1.



1.
! Pm8CoRh2 PBE optimized geometry; values from VASP
&SYSTEM
  ibrav = 0, nat = 11, ntyp = 3
/
ATOMIC_SPECIES
Rh 102.91 Rh.upf
Pm 145.00 Pm.upf
Co 58.93 Co.upf
ATOMIC_POSITIONS angstrom
Rh 2.184 2.115 3.800
Pm 0.583 4.319 4.753
Pm 0.105 6.124 2.015
Rh 1.520 4.622 -0.002
Pm 0.310 2.367 1.507
Pm 3.012 2.382 -0.973
Pm 5.587 1.203 4.530
Pm 4.464 5.445 -1.900
Co 1.224 0.007 -0.209
Pm 3.451 4.291 2.228
Pm 3.493 0.565 1.781
CELL_PARAMETERS angstrom
6.303 0.015 -1.091
-2.079 6.705 -2.752
-0.282 -0.080 7.534
! Size of the total moment: 0.00 μB per formula unit
! Symmetry: Cm (8)



2.
! Pm8CoRh2 PBE optimized geometry; values from VASP
&SYSTEM
  ibrav = 0, nat = 11, ntyp = 3
/
ATOMIC_SPECIES
Pm 145.00 Pm.upf
Co 58.93 Co.upf
Rh 102.91 Rh.upf
ATOMIC_POSITIONS angstrom
Pm 0.000 -1.203 5.770
Pm 0.000 5.186 1.104
Co 2.525 0.000 0.000
Pm 2.525 3.241 5.499
Pm 2.525 2.565 1.757
Rh 2.525 0.499 5.122
Rh 0.000 4.172 4.026
Pm 2.525 5.874 3.377
Pm 0.000 2.107 7.390
Pm 2.525 -0.514 8.044
Pm 0.000 1.430 3.648
CELL_PARAMETERS angstrom
5.050 0.000 0.000
0.000 6.825 0.635
-2.525 -2.153 8.512
! Size of the total moment: 0.00 μB per formula unit
! Symmetry: C2/m (12)



Which of them is least stable? Easy: 1.



1.
! Pm8Co2Rh PBE optimized geometry; values from VASP
&SYSTEM
  ibrav = 0, nat = 11, ntyp = 3
/
ATOMIC_SPECIES
Pm 145.00 Pm.upf
Rh 102.91 Rh.upf
Co 58.93 Co.upf
ATOMIC_POSITIONS angstrom
Pm -3.286 1.560 -1.526
Rh -0.876 0.007 -2.407
Pm -6.357 3.064 -0.404
Pm -2.134 7.123 0.797
Co -1.513 5.093 -2.161
Pm -4.775 0.853 1.740
Pm -3.979 5.222 -1.263
Pm -1.441 3.461 0.534
Pm 0.937 5.619 -0.325
Co -3.906 3.591 1.432
Pm -0.644 7.831 -2.469
CELL_PARAMETERS angstrom
-1.752 0.014 -4.815
-6.280 0.115 2.285
2.612 8.555 1.800
! Size of the total moment: 0.00 μB per formula unit
! Symmetry: C2/m (12)



2.
! Pm8Co2Rh PBE optimized geometry; values from VASP
&SYSTEM
  ibrav = 0, nat = 11, ntyp = 3
/
ATOMIC_SPECIES
Rh 102.91 Rh.upf
Pm 145.00 Pm.upf
Co 58.93 Co.upf
ATOMIC_POSITIONS angstrom
Rh 1.016 0.051 -0.144
Pm 5.638 1.348 4.329
Co 2.330 2.029 3.792
Pm 4.584 5.331 -1.709
Pm 0.430 6.048 1.885
Pm 0.914 4.222 4.654
Pm 2.992 2.376 -0.987
Co 1.648 4.604 -0.111
Pm 3.621 4.241 2.165
Pm 3.476 0.547 1.785
Pm 0.363 2.359 1.493
CELL_PARAMETERS angstrom
6.259 0.114 -1.018
-1.949 6.630 -2.851
-0.146 -0.180 7.472
! Size of the total moment: 0.00 μB per formula unit
! Symmetry: Cm (8)



Which of them is least stable? Easy: 2.



1.
! PmCoRu PBE optimized geometry; values from VASP
&SYSTEM
  ibrav = 0, nat = 12, ntyp = 3
/
ATOMIC_SPECIES
Pm 145.00 Pm.upf
Ru 101.07 Ru.upf
Co 58.93 Co.upf
ATOMIC_POSITIONS angstrom
Pm -2.727 0.099 -2.582
Ru -2.370 1.774 -8.232
Co 0.208 0.974 -3.286
Co -0.406 -2.175 -5.581
Ru -4.270 1.579 -4.712
Pm 0.427 2.004 -6.761
Ru -0.898 -0.040 -4.979
Ru 0.070 0.330 -1.112
Pm -1.656 3.245 -4.053
Pm -3.512 -1.705 -5.638
Co -4.763 3.714 -4.111
Co -2.508 1.129 -6.058
CELL_PARAMETERS angstrom
-0.735 5.749 -3.253
1.303 -3.082 -5.742
-5.736 -1.127 -0.697
! Size of the total moment: 0.00 μB per formula unit
! Symmetry: P4_12_12 (92)



2.
! PmCoRu PBE optimized geometry; values from VASP
&SYSTEM
  ibrav = 0, nat = 3, ntyp = 3
/
ATOMIC_SPECIES
Pm 145.00 Pm.upf
Co 58.93 Co.upf
Ru 101.07 Ru.upf
ATOMIC_POSITIONS angstrom
Pm -2.648 -1.972 -1.546
Co -0.695 0.000 -0.072
Ru -0.805 -2.080 0.997
CELL_PARAMETERS angstrom
-4.169 -0.002 -0.433
0.373 -1.862 -3.583
-0.352 -2.189 3.396
! Size of the total moment: 1.64 μB per formula unit
! Symmetry: P-6m2 (187)



3.
! PmCoRu PBE optimized geometry; values from VASP
&SYSTEM
  ibrav = 0, nat = 6, ntyp = 3
/
ATOMIC_SPECIES
Ru 101.07 Ru.upf
Co 58.93 Co.upf
Pm 145.00 Pm.upf
ATOMIC_POSITIONS angstrom
Ru -2.644 1.555 2.224
Ru 1.336 -0.786 2.137
Co -1.330 2.293 0.043
Co 0.007 1.507 2.181
Pm 1.310 3.763 0.565
Pm -1.296 -0.749 3.797
CELL_PARAMETERS angstrom
5.301 -0.096 -0.087
-2.659 4.586 0.087
-2.628 -1.476 4.362
! Size of the total moment: 1.01 μB per formula unit
! Symmetry: Imma (74)



Which of them is least stable? Easy: 1.



1.
! Pm3CoRu PBE optimized geometry; values from VASP
&SYSTEM
  ibrav = 0, nat = 10, ntyp = 3
/
ATOMIC_SPECIES
Ru 101.07 Ru.upf
Pm 145.00 Pm.upf
Co 58.93 Co.upf
ATOMIC_POSITIONS angstrom
Ru -2.034 -1.802 -0.575
Pm -4.987 -1.168 -1.467
Pm 0.832 -7.539 0.024
Co 1.126 -5.048 1.479
Pm -0.725 -2.870 1.873
Pm -0.363 -4.502 -1.323
Ru -2.120 -6.905 -0.867
Pm -3.430 -5.838 -3.316
Co -5.281 -3.659 -2.922
Pm -3.792 -4.205 -0.119
CELL_PARAMETERS angstrom
-1.413 -1.813 3.389
-7.228 -0.268 -3.156
4.486 -6.626 -1.676
! Size of the total moment: 0.57 μB per formula unit
! Symmetry: P2_1/m (11)



2.
! Pm3CoRu PBE optimized geometry; values from VASP
&SYSTEM
  ibrav = 0, nat = 20, ntyp = 3
/
ATOMIC_SPECIES
Co 58.93 Co.upf
Ru 101.07 Ru.upf
Pm 145.00 Pm.upf
ATOMIC_POSITIONS angstrom
Co -0.343 -4.717 7.897
Ru -2.048 -4.063 -1.192
Co -3.862 -5.332 3.734
Pm -2.960 -2.402 1.109
Co -2.021 -1.510 4.158
Pm -2.562 -6.378 0.939
Pm -4.826 -4.549 -1.138
Pm -3.321 -0.464 6.954
Ru 0.013 -6.524 2.778
Pm -4.556 -2.624 4.197
Ru -5.896 -0.319 5.114
Pm -6.355 -4.641 1.990
Pm -1.057 -2.293 9.030
Pm -1.327 -4.218 3.695
Pm -6.836 -0.826 2.111
Ru -3.835 -2.779 9.084
Pm 0.952 -6.016 5.781
Pm -2.924 -4.440 6.783
Co -5.540 -2.125 -0.005
Pm 0.472 -2.201 5.902
CELL_PARAMETERS angstrom
-2.811 -5.460 -1.689
4.253 -4.669 8.017
-7.325 3.287 1.565
! Size of the total moment: 0.00 μB per formula unit
! Symmetry: P2_1/c (14)



Which of them is least stable? Easy: 2.



1.
! TbPmCoRu PBE optimized geometry; values from VASP
&SYSTEM
  ibrav = 0, nat = 4, ntyp = 4
/
ATOMIC_SPECIES
Co 58.93 Co.upf
Tb 158.93 Tb.upf
Pm 145.00 Pm.upf
Ru 101.07 Ru.upf
ATOMIC_POSITIONS angstrom
Co 2.423 1.399 0.989
Tb 4.845 2.798 1.978
Pm 0.000 0.000 0.000
Ru 7.268 4.196 2.967
CELL_PARAMETERS angstrom
4.845 0.000 0.000
2.423 4.196 0.000
2.423 1.399 3.956
! Size of the total moment: 0.00 μB per formula unit
! Symmetry: F-43m (216)



2.
! TbPmCoRu PBE optimized geometry; values from VASP
&SYSTEM
  ibrav = 0, nat = 4, ntyp = 4
/
ATOMIC_SPECIES
Co 58.93 Co.upf
Tb 158.93 Tb.upf
Ru 101.07 Ru.upf
Pm 145.00 Pm.upf
ATOMIC_POSITIONS angstrom
Co 4.014 -0.561 2.284
Tb 1.293 -0.181 0.736
Ru -0.581 -2.381 1.695
Pm 2.081 -2.753 3.209
CELL_PARAMETERS angstrom
-2.124 -0.657 3.572
-0.104 -3.956 -0.789
5.580 -0.303 0.785
! Size of the total moment: 0.75 μB per formula unit
! Symmetry: Amm2 (38)



Which of them is least stable? Easy: 1.



1.
! Pm4CoSb2 PBE optimized geometry; values from VASP
&SYSTEM
  ibrav = 0, nat = 7, ntyp = 3
/
ATOMIC_SPECIES
Co 58.93 Co.upf
Pm 145.00 Pm.upf
Sb 121.76 Sb.upf
ATOMIC_POSITIONS angstrom
Co 0.000 0.000 0.000
Pm -1.951 1.008 1.852
Sb -0.795 -1.637 3.206
Pm -3.650 -2.862 3.771
Pm -0.422 -0.194 5.924
Sb -4.806 -0.217 2.417
Pm -5.179 -1.659 -0.301
CELL_PARAMETERS angstrom
-1.311 3.799 1.615
-6.953 -1.391 -2.372
2.663 -4.262 6.381
! Size of the total moment: 0.01 μB per formula unit
! Symmetry: C2/m (12)



2.
! Pm4CoSb2 PBE optimized geometry; values from VASP
&SYSTEM
  ibrav = 0, nat = 7, ntyp = 3
/
ATOMIC_SPECIES
Pm 145.00 Pm.upf
Sb 121.76 Sb.upf
Co 58.93 Co.upf
ATOMIC_POSITIONS angstrom
Pm 2.786 -2.764 5.238
Pm -0.680 -2.370 0.287
Sb 1.244 0.362 5.930
Co 0.000 0.000 0.000
Pm 0.593 0.172 2.826
Sb 2.134 -2.953 2.134
Pm 2.333 -0.723 -0.445
CELL_PARAMETERS angstrom
-1.359 -4.741 0.574
4.666 -1.446 -0.891
0.072 3.595 8.381
! Size of the total moment: 0.00 μB per formula unit
! Symmetry: I4/mmm (139)



Which of them is least stable? Easy: 1.



1.
! PmCoSb2 PBE optimized geometry; values from VASP
&SYSTEM
  ibrav = 0, nat = 4, ntyp = 3
/
ATOMIC_SPECIES
Co 58.93 Co.upf
Sb 121.76 Sb.upf
Pm 145.00 Pm.upf
ATOMIC_POSITIONS angstrom
Co 0.000 0.000 0.000
Sb 1.703 0.984 7.763
Pm 3.407 1.967 5.111
Sb 5.110 2.951 2.460
CELL_PARAMETERS angstrom
3.407 0.000 0.000
1.703 2.951 0.000
1.703 0.984 10.223
! Size of the total moment: 1.67 μB per formula unit
! Symmetry: R-3m (166)



2.
! PmCoSb2 PBE optimized geometry; values from VASP
&SYSTEM
  ibrav = 0, nat = 4, ntyp = 3
/
ATOMIC_SPECIES
Co 58.93 Co.upf
Sb 121.76 Sb.upf
Pm 145.00 Pm.upf
ATOMIC_POSITIONS angstrom
Co 2.124 0.000 0.000
Sb 0.000 0.000 2.329
Sb 0.000 2.329 0.000
Pm 2.124 2.329 2.329
CELL_PARAMETERS angstrom
4.248 0.000 0.000
0.000 4.659 0.000
0.000 0.000 4.659
! Size of the total moment: 1.51 μB per formula unit
! Symmetry: P4/mmm (123)



Which of them is least stable? Easy: 1.